Model 1:
VASP calculation (PBE-GGA) on an optimized crystal structure of Na7Cd2In2.

crystal system: orthorhombic
space group: Imm2, No. 44

The structure in POSCAR format:
```
Na7Cd2In2
1.0
5.2512 0.0000 0.0000
2.6256 8.6491 0.5036
2.6256 4.5443 7.3763
Na Cd In
7 2 2
Direct
0.8476 0.0462 0.2587
0.8545 0.4835 0.8075
0.5000 0.9298 0.0702
0.6583 0.4618 0.2217
0.3417 0.7783 0.5382
0.1524 0.7413 0.9538
0.1455 0.1925 0.5165
0.6838 0.9428 0.6896
0.3162 0.3104 0.0572
0.0000 0.6099 0.3901
0.5000 0.3572 0.6428
```

***

Model 2:
VASP calculation (PBE-GGA) on an optimized crystal structure of Na7Cd2In2.

crystal system: monoclinic
space group: C2/m, No. 12

The structure in POSCAR format:
```
Na7Cd2In2
1.0
6.2751 0.0057 -0.8572
-0.4707 6.2574 -0.8572
-0.0257 -0.0277 8.0678
Na Cd In
7 2 2
Direct
0.9111 0.5239 0.1968
0.4761 0.0889 0.8032
0.0889 0.4761 0.8032
0.5239 0.9111 0.1968
0.0000 0.0000 0.0000
0.8415 0.8415 0.5769
0.1585 0.1585 0.4231
0.6008 0.6008 0.8534
0.3992 0.3992 0.1466
0.3293 0.6707 0.5000
0.6707 0.3293 0.5000
```

***

The calculated energies rank the structures as follows, beginning with the most stable: model 2, model 1.

***

Model 1:
VASP calculation (PBE-GGA) on an optimized crystal structure of Na4Cd2In.

crystal system: trigonal
space group: R-3m, No. 166

The structure in POSCAR format:
```
Na4Cd2In
1.0
-4.0932 3.0226 -1.5485
-4.2328 -2.2387 -2.3151
-5.9781 -0.6328 5.4326
Na Cd In
4 2 1
Direct
0.4287 0.4287 0.7140
0.2807 0.2807 0.1580
0.7193 0.7193 0.8420
0.5713 0.5713 0.2860
0.1407 0.1407 0.5778
0.8593 0.8593 0.4222
0.0000 0.0000 0.0000
```

***

Model 2:
VASP calculation (PBE-GGA) on an optimized crystal structure of Na4Cd2In.

crystal system: monoclinic
space group: C2/m, No. 12

The structure in POSCAR format:
```
Na4Cd2In
1.0
-3.2152 -0.2647 -0.1057
2.0707 -5.2993 -0.4314
-0.0587 -3.5744 10.7357
Na Cd In
4 2 1
Direct
0.5920 0.1840 0.2197
0.4080 0.8160 0.7803
0.6997 0.3993 0.6350
0.3003 0.6007 0.3650
0.6421 0.2842 0.9337
0.3579 0.7158 0.0663
0.0000 0.0000 0.5000
```

***

The calculated energies rank the structures as follows, beginning with the most stable: model 1, model 2.

***

Model 1:
VASP calculation (PBE-GGA) on an optimized crystal structure of NbCdIn3.

crystal system: cubic
space group: Pm-3m, No. 221

The structure in POSCAR format:
```
NbCdIn3
1.0
-3.1058 4.1983 1.2640
-4.3569 -2.7821 -1.4651
-0.4903 -1.8718 5.0125
Nb Cd In
1 1 3
Direct
0.5000 0.5000 0.5000
0.0000 0.0000 0.0000
0.0000 0.5000 0.0000
0.0000 0.0000 0.5000
0.5000 0.0000 0.0000
```

***

Model 2:
VASP calculation (PBE-GGA) on an optimized crystal structure of NbCdIn3.

crystal system: cubic
space group: Pm-3m, No. 221

The structure in POSCAR format:
```
NbCdIn3
1.0
5.4798 0.0000 0.0000
0.0000 5.4798 0.0000
0.0000 0.0000 5.4798
Nb Cd In
1 1 3
Direct
0.0000 0.0000 0.0000
0.5000 0.5000 0.5000
0.0000 0.5000 0.0000
0.0000 0.0000 0.5000
0.5000 0.0000 0.0000
```

***

The calculated energies rank the structures as follows, beginning with the most stable: model 2, model 1.